HoAsPd2 | PBE-GGA | optimized geometry

Cell: 4.1735 4.1735 4.1984 Å, 90.00 90.00 90.00°
Last column: nearest neighbours and their distance in Å.
Fractional positions:
Ho  0.0000  0.0000  0.0000  4 As 2.95, 8 Pd 2.96
As  0.5000  0.5000  0.0000  4 Ho 2.95, 8 Pd 2.96
Pd  0.0000  0.5000  0.5000  4 Pd 2.95, 4 As 2.96, 4 Ho 2.96
Pd  0.5000  0.0000  0.5000  4 Pd 2.95, 4 As 2.96, 4 Ho 2.96

Values from the calculation:
Formation enthalpy at 0 K in eV per atom: -0.777
Space group: P4/mmm, No. 123
Total energy in eV per atom: -5.68

DyYGaSn | PBE-GGA | optimized geometry

Cell: 4.1632 4.4612 11.1496 Å, 90.00 90.00 90.00°
Last column: nearest neighbours and their distance in Å.
Fractional positions:
Dy  0.0000  0.0000  0.0000  4 Ga 3.10, 3 Sn 3.17-3.28
Dy  0.0000  0.5000  0.5000  4 Ga 3.10, 3 Sn 3.17-3.28
Y  0.5000  0.0000  0.2787  1 Ga 3.01, 4 Sn 3.13
Y  0.5000  0.5000  0.7787  1 Ga 3.01, 4 Sn 3.13
Ga  0.5000  0.0000  0.5484  2 Sn 2.80, 1 Y 3.01, 4 Dy 3.10
Ga  0.5000  0.5000  0.0484  2 Sn 2.80, 1 Y 3.01, 4 Dy 3.10
Sn  0.0000  0.0000  0.7161  2 Ga 2.80, 4 Y 3.13
Sn  0.0000  0.5000  0.2161  2 Ga 2.80, 4 Y 3.13

Values from the calculation:
Formation enthalpy at 0 K in eV per atom: -0.718
Space group: Amm2, No. 38
Total energy in eV per atom: -5.24
Excess energy over the best structure of this formula in the dataset in meV per atom: 0

FeNi2Pb | PBE-GGA | optimized geometry

Cell: 3.8809 3.8809 3.7967 Å, 90.00 90.00 90.00°
Last column: nearest neighbours and their distance in Å.
Fractional positions:
Fe  0.0000  0.0000  0.0000  8 Ni 2.71, 4 Pb 2.74
Ni  0.0000  0.5000  0.5000  4 Pb 2.71, 4 Fe 2.71, 4 Ni 2.74
Ni  0.5000  0.0000  0.5000  4 Pb 2.71, 4 Fe 2.71, 4 Ni 2.74
Pb  0.5000  0.5000  0.0000  8 Ni 2.71, 4 Fe 2.74

Values from the calculation:
Formation enthalpy at 0 K in eV per atom: 0.288
Space group: P4/mmm, No. 123
Total energy in eV per atom: -5.65

TaPd2Se4 | PBE-GGA | optimized geometry

Cell: 13.1249 3.6979 6.6791 Å, 90.00 118.12 90.00°
Last column: nearest neighbours and their distance in Å.
Fractional positions:
Ta  0.0000  0.0000  0.0000  6 Se 2.59-2.62
Ta  0.5000  0.5000  0.0000  6 Se 2.59-2.62
Pd  0.2377  0.5000  0.7004  6 Se 2.56-2.78
Pd  0.2623  0.0000  0.2996  6 Se 2.56-2.78
Pd  0.7377  0.0000  0.7004  6 Se 2.56-2.78
Pd  0.7623  0.5000  0.2996  6 Se 2.56-2.78
Se  0.1091  0.0000  0.4396  3 Pd 2.56-2.59, 1 Ta 2.59
Se  0.1321  0.5000  0.9662  2 Ta 2.62, 3 Pd 2.72-2.78
Se  0.3679  0.0000  0.0338  2 Ta 2.62, 3 Pd 2.72-2.78
Se  0.3909  0.5000  0.5604  3 Pd 2.56-2.59, 1 Ta 2.59
Se  0.6091  0.5000  0.4396  3 Pd 2.56-2.59, 1 Ta 2.59
Se  0.6321  0.0000  0.9662  2 Ta 2.62, 3 Pd 2.72-2.78
Se  0.8679  0.5000  0.0338  2 Ta 2.62, 3 Pd 2.72-2.78
Se  0.8909  0.0000  0.5604  3 Pd 2.56-2.59, 1 Ta 2.59

Values from the calculation:
Space group: C2/m, No. 12
ΔE_f (raw) in eV per atom: -0.422
Total energy in eV per atom: -5.59

LiTl3P | PBE-GGA | optimized geometry

Cell: 5.1036 5.1036 5.1036 Å, 90.00 90.00 90.00°
Last column: nearest neighbours and their distance in Å.
Fractional positions:
Li  0.0000  0.0000  0.0000  6 Tl 2.55
Tl  0.0000  0.0000  0.5000  2 Li 2.55
Tl  0.0000  0.5000  0.0000  2 Li 2.55
Tl  0.5000  0.0000  0.0000  2 Li 2.55
P  0.5000  0.5000  0.5000  12 Tl 3.61

Values from the calculation:
Formation enthalpy at 0 K in eV per atom: 0.400
Space group: Pm-3m, No. 221
Total energy in eV per atom: -2.48
Excess energy over the best structure of this formula in the dataset in meV per atom: 58

Co2ReRh | PBE-GGA | optimized geometry

Cell: 3.7289 3.7289 3.5940 Å, 90.00 90.00 90.00°
Last column: nearest neighbours and their distance in Å.
Fractional positions:
Co  0.0000  0.5000  0.0000  4 Re 2.59, 4 Rh 2.59, 4 Co 2.64
Co  0.5000  0.0000  0.0000  4 Re 2.59, 4 Rh 2.59, 4 Co 2.64
Re  0.0000  0.0000  0.5000  8 Co 2.59, 4 Rh 2.64
Rh  0.5000  0.5000  0.5000  8 Co 2.59, 4 Re 2.64

Values from the calculation:
Formation enthalpy at 0 K in eV per atom: 0.086
Space group: P4/mmm, No. 123
Total energy in eV per atom: -8.42
Excess energy over the best structure of this formula in the dataset in meV per atom: 61

MgTiSe2 | PBE-GGA | optimized geometry

Cell: 3.6476 3.6476 19.8400 Å, 90.00 90.00 120.00°
Last column: nearest neighbours and their distance in Å.
Fractional positions:
Mg  0.0000  0.0000  0.0000  6 Se 2.69-2.70
Mg  0.3333  0.6667  0.6667  6 Se 2.69-2.70
Mg  0.6667  0.3333  0.3333  6 Se 2.69-2.70
Ti  0.0000  0.0000  0.8345  6 Se 2.64-2.68
Ti  0.3333  0.6667  0.5012  6 Se 2.64-2.68
Ti  0.6667  0.3333  0.1679  6 Se 2.64-2.68
Se  0.0000  0.0000  0.4180  3 Ti 2.68, 3 Mg 2.69
Se  0.0000  0.0000  0.5817  3 Ti 2.64, 3 Mg 2.70
Se  0.3333  0.6667  0.0847  3 Ti 2.68, 3 Mg 2.69
Se  0.3333  0.6667  0.2483  3 Ti 2.64, 3 Mg 2.70
Se  0.6667  0.3333  0.7513  3 Ti 2.68, 3 Mg 2.69
Se  0.6667  0.3333  0.9150  3 Ti 2.64, 3 Mg 2.70

Values from the calculation:
Space group: R3m, No. 160
ΔE_f (raw) in eV per atom: -1.054
Total energy in eV per atom: -5.17

Y2In2I | PBE-GGA | optimized geometry

Cell: 8.0490 8.0490 4.6204 Å, 90.00 90.00 90.00°
Last column: nearest neighbours and their distance in Å.
Fractional positions:
Y  0.1604  0.3396  0.0000  2 I 3.02, 6 In 3.27-3.33
Y  0.3396  0.8396  0.0000  2 I 3.02, 6 In 3.27-3.33
Y  0.6604  0.1604  0.0000  2 I 3.02, 6 In 3.27-3.33
Y  0.8396  0.6604  0.0000  2 I 3.02, 6 In 3.27-3.33
In  0.1359  0.6359  0.5000  1 In 3.09, 6 Y 3.27-3.33
In  0.3641  0.1359  0.5000  1 In 3.09, 6 Y 3.27-3.33
In  0.6359  0.8641  0.5000  1 In 3.09, 6 Y 3.27-3.33
In  0.8641  0.3641  0.5000  1 In 3.09, 6 Y 3.27-3.33
I  0.0000  0.0000  0.0000  4 Y 3.02
I  0.5000  0.5000  0.0000  4 Y 3.02

Values from the calculation:
Space group: P4/mbm, No. 127
ΔE_f (raw) in eV per atom: -0.508
Total energy in eV per atom: -4.50

Nd5Tm3Se8 | PBE-GGA | optimized geometry

Cell: 8.3997 8.3997 8.3997 Å, 58.61 58.61 58.61°
Last column: nearest neighbours and their distance in Å.
Fractional positions:
Nd  0.0000  0.0000  0.0000  6 Se 2.95
Nd  0.0000  0.5000  0.5000  6 Se 3.03
Nd  0.5000  0.0000  0.5000  6 Se 3.03
Nd  0.5000  0.5000  0.0000  6 Se 3.03
Nd  0.5000  0.5000  0.5000  6 Se 2.94
Tm  0.0000  0.0000  0.5000  6 Se 2.85
Tm  0.0000  0.5000  0.0000  6 Se 2.85
Tm  0.5000  0.0000  0.0000  6 Se 2.85
Se  0.2357  0.7498  0.7498  2 Tm 2.85, 4 Nd 2.94-3.03
Se  0.2430  0.2430  0.2430  3 Tm 2.85, 3 Nd 3.03
Se  0.2502  0.2502  0.7643  2 Tm 2.85, 4 Nd 2.94-3.03
Se  0.2502  0.7643  0.2502  2 Tm 2.85, 4 Nd 2.94-3.03
Se  0.7498  0.2357  0.7498  2 Tm 2.85, 4 Nd 2.94-3.03
Se  0.7498  0.7498  0.2357  2 Tm 2.85, 4 Nd 2.94-3.03
Se  0.7570  0.7570  0.7570  3 Tm 2.85, 3 Nd 3.03
Se  0.7643  0.2502  0.2502  2 Tm 2.85, 4 Nd 2.94-3.03

Values from the calculation:
Space group: R-3m, No. 166
ΔE_f (raw) in eV per atom: -1.770
Total energy in eV per atom: -5.84

SrRh2Br | PBE-GGA | optimized geometry

Cell: 8.7903 3.9523 5.7347 Å, 90.00 114.95 90.00°
Last column: nearest neighbours and their distance in Å.
Fractional positions:
Sr  0.0000  0.0000  0.0000  6 Rh 3.19-3.56, 4 Br 3.21-3.35
Sr  0.5000  0.5000  0.0000  6 Rh 3.19-3.56, 4 Br 3.21-3.35
Rh  0.0385  0.5000  0.5918  3 Rh 2.55-2.79, 2 Br 2.69
Rh  0.2258  0.0000  0.6096  3 Rh 2.55-2.79, 2 Br 2.68
Rh  0.5385  0.0000  0.5918  3 Rh 2.55-2.79, 2 Br 2.69
Rh  0.7258  0.5000  0.6096  3 Rh 2.55-2.79, 2 Br 2.68
Br  0.3158  0.5000  0.3782  4 Rh 2.68-2.69
Br  0.8158  0.0000  0.3782  4 Rh 2.68-2.69

Values from the calculation:
Space group: Cm, No. 8
ΔE_f (raw) in eV per atom: -0.185
Total energy in eV per atom: -4.70
Excess energy over the best structure of this formula in the dataset in meV per atom: 70

NdSm2Dy12 | PBE-GGA | optimized geometry

Cell: 6.4138 6.4138 25.0388 Å, 90.00 90.00 90.00°
Last column: nearest neighbours and their distance in Å.
Fractional positions:
Nd  0.2500  0.7500  0.0000  4 Dy 3.39
Nd  0.7500  0.2500  0.0000  4 Dy 3.39
Sm  0.2500  0.7500  0.2734  8 Dy 3.51-3.62
Sm  0.2500  0.7500  0.7266  8 Dy 3.51-3.62
Sm  0.7500  0.2500  0.2734  8 Dy 3.51-3.62
Sm  0.7500  0.2500  0.7266  8 Dy 3.51-3.62
Dy  0.0656  0.5656  0.1176  7 Dy 3.32-3.41, 1 Nd 3.39
Dy  0.0656  0.9344  0.8824  7 Dy 3.32-3.41, 1 Nd 3.39
Dy  0.0815  0.5815  0.4394  6 Dy 3.06-3.38
Dy  0.0815  0.9185  0.5606  6 Dy 3.06-3.38
Dy  0.2500  0.2500  0.2165  5 Dy 3.10-3.41
Dy  0.2500  0.2500  0.3404  5 Dy 3.10-3.44
Dy  0.2500  0.2500  0.6596  5 Dy 3.10-3.44
Dy  0.2500  0.2500  0.7835  5 Dy 3.10-3.41
Dy  0.4185  0.5815  0.5606  6 Dy 3.06-3.38
Dy  0.4185  0.9185  0.4394  6 Dy 3.06-3.38
Dy  0.4344  0.5656  0.8824  7 Dy 3.32-3.41, 1 Nd 3.39
Dy  0.4344  0.9344  0.1176  7 Dy 3.32-3.41, 1 Nd 3.39
Dy  0.5656  0.0656  0.8824  7 Dy 3.32-3.41, 1 Nd 3.39
Dy  0.5656  0.4344  0.1176  7 Dy 3.32-3.41, 1 Nd 3.39
Dy  0.5815  0.0815  0.5606  6 Dy 3.06-3.38
Dy  0.5815  0.4185  0.4394  6 Dy 3.06-3.38
Dy  0.7500  0.7500  0.2165  5 Dy 3.10-3.41
Dy  0.7500  0.7500  0.3404  5 Dy 3.10-3.44
Dy  0.7500  0.7500  0.6596  5 Dy 3.10-3.44
Dy  0.7500  0.7500  0.7835  5 Dy 3.10-3.41
Dy  0.9185  0.0815  0.4394  6 Dy 3.06-3.38
Dy  0.9185  0.4185  0.5606  6 Dy 3.06-3.38
Dy  0.9344  0.0656  0.1176  7 Dy 3.32-3.41, 1 Nd 3.39
Dy  0.9344  0.4344  0.8824  7 Dy 3.32-3.41, 1 Nd 3.39

Values from the calculation:
Formation enthalpy at 0 K in eV per atom: 0.317
Space group: P4/nbm, No. 125
Total energy in eV per atom: -4.31

ScCdAg2 | PBE-GGA | optimized geometry

Cell: 3.1429 4.5869 5.7920 Å, 90.00 105.51 90.00°
Last column: nearest neighbours and their distance in Å.
Fractional positions:
Sc  0.0000  0.0000  0.0000  7 Ag 2.93-3.09, 2 Sc 3.14
Cd  0.3329  0.5000  0.6699  7 Ag 2.89-3.12, 2 Cd 3.14
Ag  0.5924  0.5000  0.1871  2 Ag 2.80, 3 Cd 2.89-3.12, 4 Sc 2.97
Ag  0.7324  0.0000  0.4752  2 Ag 2.80, 3 Sc 2.93-3.09, 4 Cd 2.98-2.99

Values from the calculation:
Formation enthalpy at 0 K in eV per atom: -0.124
Space group: Pm, No. 6
Total energy in eV per atom: -3.36

K2RbTm | PBE-GGA | optimized geometry

Cell: 3.9836 3.9836 48.2934 Å, 90.00 90.00 120.00°
Last column: nearest neighbours and their distance in Å.
Fractional positions:
K  0.0000  0.0000  0.0779  1 Tm 3.76, 6 K 3.98
K  0.0000  0.0000  0.9221  1 Tm 3.76, 6 K 3.98
K  0.3333  0.6667  0.5887  1 Tm 3.76, 6 K 3.98
K  0.3333  0.6667  0.7446  1 Tm 3.76, 6 K 3.98
K  0.6667  0.3333  0.2554  1 Tm 3.76, 6 K 3.98
K  0.6667  0.3333  0.4113  1 Tm 3.76, 6 K 3.98
Rb  0.0000  0.0000  0.5000  6 Rb 3.98
Rb  0.3333  0.6667  0.1667  6 Rb 3.98
Rb  0.6667  0.3333  0.8333  6 Rb 3.98
Tm  0.0000  0.0000  0.0000  2 K 3.76, 6 Tm 3.98
Tm  0.3333  0.6667  0.6667  2 K 3.76, 6 Tm 3.98
Tm  0.6667  0.3333  0.3333  2 K 3.76, 6 Tm 3.98

Values from the calculation:
Formation enthalpy at 0 K in eV per atom: 0.495
Space group: R-3m, No. 166
Total energy in eV per atom: -1.41

Nb3CrPt | PBE-GGA | optimized geometry

Cell: 4.5364 4.5364 4.5364 Å, 90.00 90.00 90.00°
Last column: nearest neighbours and their distance in Å.
Fractional positions:
Nb  0.0000  0.0000  0.5000  2 Cr 2.27
Nb  0.0000  0.5000  0.0000  2 Cr 2.27
Nb  0.5000  0.0000  0.0000  2 Cr 2.27
Cr  0.0000  0.0000  0.0000  6 Nb 2.27
Pt  0.5000  0.5000  0.5000  12 Nb 3.21

Values from the calculation:
Formation enthalpy at 0 K in eV per atom: 0.716
Space group: Pm-3m, No. 221
Total energy in eV per atom: -8.46
Excess energy over the best structure of this formula in the dataset in meV per atom: 0

Pd2C2F | PBE-GGA | optimized geometry

Cell: 3.3420 3.3420 11.1986 Å, 90.00 90.00 90.00°
Last column: nearest neighbours and their distance in Å.
Fractional positions:
Pd  0.0000  0.0000  0.1380  4 C 2.09
Pd  0.0000  0.0000  0.8620  4 C 2.09
Pd  0.5000  0.5000  0.3620  4 C 2.09
Pd  0.5000  0.5000  0.6380  4 C 2.09
C  0.0000  0.5000  0.2500  4 Pd 2.09
C  0.0000  0.5000  0.7500  4 Pd 2.09
C  0.5000  0.0000  0.2500  4 Pd 2.09
C  0.5000  0.0000  0.7500  4 Pd 2.09
F  0.0000  0.0000  0.5000  8 Pd 2.82
F  0.5000  0.5000  0.0000  8 Pd 2.82

Values from the calculation:
Space group: I4/mmm, No. 139
ΔE_f (raw) in eV per atom: 0.885
Total energy in eV per atom: -5.26
Excess energy over the best structure of this formula in the dataset in meV per atom: 503

CuNiSeS | PBE-GGA | optimized geometry

Cell: 6.4424 3.7202 6.4890 Å, 90.00 109.18 90.00°
Last column: nearest neighbours and their distance in Å.
Fractional positions:
Cu  0.0000  0.0000  0.0000  3 S 2.24, 1 Se 2.43
Cu  0.5000  0.5000  0.0000  3 S 2.24, 1 Se 2.43
Ni  0.4874  0.0000  0.4595  1 S 2.17, 3 Se 2.32
Ni  0.9874  0.5000  0.4595  1 S 2.17, 3 Se 2.32
Se  0.3687  0.5000  0.6042  3 Ni 2.32, 1 Cu 2.43
Se  0.8687  0.0000  0.6042  3 Ni 2.32, 1 Cu 2.43
S  0.3684  0.0000  0.1057  1 Ni 2.17, 3 Cu 2.24
S  0.8684  0.5000  0.1057  1 Ni 2.17, 3 Cu 2.24

Values from the calculation:
Space group: Cm, No. 8
ΔE_f (raw) in eV per atom: -0.215
Total energy in eV per atom: -4.59

TbPr8Y2 | PBE-GGA | optimized geometry

Cell: 9.6002 9.6002 9.6002 Å, 144.95 128.64 63.70°
Last column: nearest neighbours and their distance in Å.
Fractional positions:
Tb  0.0000  0.0000  0.0000  4 Pr 3.30
Pr  0.1610  0.8650  0.2960  1 Tb 3.30, 4 Pr 3.40-3.70, 3 Y 3.52-3.64
Pr  0.1635  0.6635  0.5000  8 Pr 3.61-3.83, 2 Y 3.64, 2 Tb 3.93
Pr  0.2917  0.5000  0.7917  7 Pr 3.47-3.63, 2 Y 3.71, 2 Tb 3.77
Pr  0.4309  0.1350  0.2960  1 Tb 3.30, 4 Pr 3.40-3.70, 3 Y 3.52-3.64
Pr  0.5691  0.8650  0.7040  1 Tb 3.30, 4 Pr 3.40-3.70, 3 Y 3.52-3.64
Pr  0.7083  0.5000  0.2083  7 Pr 3.47-3.63, 2 Y 3.71, 2 Tb 3.77
Pr  0.8365  0.3365  0.5000  8 Pr 3.61-3.83, 2 Y 3.64, 2 Tb 3.93
Pr  0.8390  0.1350  0.7040  1 Tb 3.30, 4 Pr 3.40-3.70, 3 Y 3.52-3.64
Y  0.2991  0.2991  0.0000  10 Pr 3.52-3.71
Y  0.7009  0.7009  0.0000  10 Pr 3.52-3.71

Values from the calculation:
Formation enthalpy at 0 K in eV per atom: 0.107
Space group: Immm, No. 71
Total energy in eV per atom: -4.97
Excess energy over the best structure of this formula in the dataset in meV per atom: 0